Density functional theory data (PBE+U) for an optimized crystal structure of FePdN2O.

Lattice parameters (Å, degrees): 3.9030 3.9030 4.1663 90.00 90.00 90.00
Space group P4/mmm (No. 123)
Unique sites:
1 Fe 0.0000 0.0000 0.0000
2 Pd 0.5000 0.5000 0.5000
3 N 0.0000 0.5000 0.5000
4 O 0.5000 0.5000 0.0000

Computed properties:
**Raw total energy**: -5.20 eV/atom